[1]
Here is a relaxed structure of SbPH3 from Alexandria via LeMat-Bulk. Energies are from GGA-PBE. Values from VASP.

Quantum ESPRESSO input file:
```
&SYSTEM
  ibrav = 0, nat = 5, ntyp = 3
/
ATOMIC_SPECIES
H 1.01 H.upf
P 30.97 P.upf
Sb 121.76 Sb.upf
CELL_PARAMETERS angstrom
-3.215 1.624 -0.762
0.530 -0.634 -3.588
-1.714 -3.243 0.320
ATOMIC_POSITIONS crystal
H 0.500 0.000 0.000
P 0.000 0.000 0.000
Sb 0.500 0.500 0.500
H 0.000 0.500 0.000
H 0.000 0.000 0.500
```

Values from the calculation:
- Spin magnetization: 0.0 μB/f.u.
- Calculated density: 5.184 g cm⁻³
- E above lowest polymorph: 0 kJ/mol of formula units
- DOS at the Fermi energy: 1.8 states/eV per cell

[2]
Here is a relaxed structure of NaLu2Tl from Alexandria via LeMat-Bulk. Energies are from GGA-PBE. Values from VASP.

Quantum ESPRESSO input file:
```
&SYSTEM
  ibrav = 0, nat = 4, ntyp = 3
/
ATOMIC_SPECIES
Tl 204.38 Tl.upf
Na 22.99 Na.upf
Lu 174.97 Lu.upf
CELL_PARAMETERS angstrom
3.464 0.000 0.000
1.732 3.000 0.000
1.732 1.000 11.923
ATOMIC_POSITIONS crystal
Tl 0.500 0.500 0.500
Na 0.000 0.000 0.000
Lu 0.904 0.904 0.287
Lu 0.096 0.096 0.713
```

Values from the calculation:
- Spin magnetization: 0.0 μB/f.u.
- Calculated density: 7.738 g cm⁻³
- E above lowest polymorph: 44 kJ/mol of formula units
- DOS at the Fermi energy: 3.9 states/eV per cell

[3]
Here is a relaxed structure of Pr6AgIr from Alexandria via LeMat-Bulk. Energies are from GGA-PBE. Values from VASP.

Quantum ESPRESSO input file:
```
&SYSTEM
  ibrav = 0, nat = 8, ntyp = 3
/
ATOMIC_SPECIES
Pr 140.91 Pr.upf
Ir 192.22 Ir.upf
Ag 107.87 Ag.upf
CELL_PARAMETERS angstrom
-2.422 -6.563 0.168
0.149 -3.632 5.984
-6.917 -1.080 3.610
ATOMIC_POSITIONS crystal
Pr 0.944 0.579 0.245
Pr 0.768 0.056 0.755
Pr 0.579 0.232 0.245
Pr 0.056 0.421 0.755
Ir 0.000 0.000 0.000
Ag 0.500 0.500 0.500
Pr 0.421 0.768 0.755
Pr 0.232 0.944 0.245
```

Values from the calculation:
- Spin magnetization: 0.0 μB/f.u.
- Calculated density: 6.627 g cm⁻³
- E_tot: -41.1 eV per cell
- DOS at the Fermi energy: 10.9 states/eV per cell

[4]
Here is a relaxed structure of La2Pm3TmAs6 from Alexandria via LeMat-Bulk. Energies are from GGA-PBE. Values from VASP.

Quantum ESPRESSO input file:
```
&SYSTEM
  ibrav = 0, nat = 12, ntyp = 4
/
ATOMIC_SPECIES
Pm 145.00 Pm.upf
As 74.92 As.upf
Tm 168.93 Tm.upf
La 138.91 La.upf
CELL_PARAMETERS angstrom
-1.510 -1.805 -3.552
6.398 -5.623 0.137
-5.882 -3.284 6.727
ATOMIC_POSITIONS crystal
Pm 0.500 0.500 0.000
As 0.337 0.923 0.673
Tm 0.500 0.000 0.000
As 0.002 0.759 0.004
As 0.335 0.413 0.669
Pm 0.833 0.165 0.666
As 0.998 0.241 0.996
As 0.663 0.077 0.327
La 0.835 0.669 0.670
Pm 0.167 0.835 0.334
La 0.165 0.331 0.330
As 0.665 0.587 0.331
```

Values from the calculation:
- Spin magnetization: 0.0 μB/f.u.
- Calculated density: 6.746 g cm⁻³
- E_tot: -74.7 eV per cell
- DOS at the Fermi energy: 1.6 states/eV per cell

[5]
Here is a relaxed structure of TbTm8 from Alexandria via LeMat-Bulk. Energies are from GGA-PBE. Values from VASP.

Quantum ESPRESSO input file:
```
&SYSTEM
  ibrav = 0, nat = 9, ntyp = 2
/
ATOMIC_SPECIES
Tm 168.93 Tm.upf
Tb 158.93 Tb.upf
CELL_PARAMETERS angstrom
4.927 0.000 0.000
2.464 7.408 0.000
2.464 0.000 7.408
ATOMIC_POSITIONS crystal
Tm 0.333 0.000 0.334
Tm 0.667 0.666 0.000
Tm 0.333 0.334 0.000
Tm 0.667 0.000 0.666
Tm 0.666 0.334 0.334
Tm 0.000 0.666 0.334
Tm 0.000 0.334 0.666
Tb 0.000 0.000 0.000
Tm 0.334 0.666 0.666
```

Values from the calculation:
- Spin magnetization: 0.0 μB/f.u.
- Calculated density: 9.276 g cm⁻³
- E_tot: -40.2 eV per cell
- DOS at the Fermi energy: 12.2 states/eV per cell

[6]
Here is a relaxed structure of CdMoW2 from Alexandria via LeMat-Bulk. Energies are from GGA-PBE. Values from VASP.

Quantum ESPRESSO input file:
```
&SYSTEM
  ibrav = 0, nat = 4, ntyp = 3
/
ATOMIC_SPECIES
Mo 95.94 Mo.upf
W 183.84 W.upf
Cd 112.41 Cd.upf
CELL_PARAMETERS angstrom
-1.101 4.249 3.068
1.285 -4.625 2.564
2.533 0.598 0.820
ATOMIC_POSITIONS crystal
Mo 0.500 0.500 0.000
W 0.500 0.000 0.500
Cd 0.000 0.500 0.500
W 0.000 0.000 0.000
```

Values from the calculation:
- Spin magnetization: 0.0 μB/f.u.
- Calculated density: 14.216 g cm⁻³
- E_tot: -35.8 eV per cell
- DOS at the Fermi energy: 1.7 states/eV per cell